Entry 1:
Computed, not measured: an optimized crystal structure of BaScIn at the PBE-GGA level of DFT.

Computed properties:
Density of states at the Fermi level = 0.8139 states/eV/atom
ΔE_f = 599 meV/atom

extended XYZ file:
```
3
Lattice="-4.870 1.893 1.488 -3.756 1.095 -3.769 -4.397 -3.159 -0.451" Properties=species:S:1:pos:R:3 pbc="T T T"
Ba -9.767 -0.128 -2.049
In 0.000 0.000 0.000
Sc -6.511 -0.085 -1.366
```



Entry 2:
Computed, not measured: an optimized crystal structure of NpBN at the PBE-GGA level of DFT.

Computed properties:
Density of states at the Fermi level = 1.6810 states/eV/atom
Uncorrected formation energy = -0.94 eV per atom

extended XYZ file:
```
6
Lattice="3.305 0.046 0.172 -0.102 3.418 1.049 -0.320 -0.028 6.158" Properties=species:S:1:pos:R:3 pbc="T T T"
Np 2.027 1.950 6.158
Np 0.524 2.899 2.921
B 0.482 0.585 4.360
B 2.171 0.846 3.670
N 0.413 0.139 5.804
N 2.240 1.292 2.226
```